[1]
4
Lattice="2.900 0.000 0.000 0.000 3.959 0.000 -1.442 0.000 6.231" Properties=species:S:1:pos:R:3 comment="CaCr2Tc, relaxed, DFT GGA-PBE" formation_energy_ev_per_atom=0.54 pbc="T T T"
Ca 0.000 0.000 0.000
Cr -0.360 1.980 4.072
Cr 1.818 1.980 2.159
Tc 0.729 0.000 3.116


[2]
5
Lattice="5.157 0.000 0.000 0.000 5.157 0.000 0.000 0.000 5.157" Properties=species:S:1:pos:R:3 comment="Y3FeAg, relaxed, DFT GGA-PBE" formation_energy_ev_per_atom=0.10 pbc="T T T"
Y 0.000 0.000 2.578
Y 0.000 2.578 0.000
Y 2.578 0.000 0.000
Fe 0.000 0.000 0.000
Ag 2.578 2.578 2.578